DyTmSbO2, optimized geometry, DFT PBE; uncorrected formation energy = -2.73 eV/atom; magnetic moment = 0.00 μB/f.u.
1.0
-1.914 1.914 6.633
1.914 -1.914 6.633
1.914 1.914 -6.633
Dy Tm Sb O
1 1 1 2
Direct
0.000 0.000 0.000 Dy
0.333 0.333 0.000 Tm
0.667 0.667 0.000 Sb
0.414 0.914 0.500 O
0.914 0.414 0.500 O



K2Rb8HgAu, optimized geometry, DFT PBE; formation energy = -0.4 eV/f.u.; magnetic moment = 0.00 μB/f.u.
1.0
8.401 0.000 0.000
-0.003 9.839 0.000
-1.841 -0.035 11.027
K Rb Hg Au
2 8 1 1
Direct
0.001 0.261 0.000 K
0.999 0.739 0.000 K
0.089 0.001 0.333 Rb
0.119 0.501 0.349 Rb
0.426 0.263 0.728 Rb
0.426 0.738 0.728 Rb
0.574 0.262 0.272 Rb
0.574 0.737 0.272 Rb
0.881 0.499 0.651 Rb
0.911 0.999 0.667 Rb
0.500 0.000 0.500 Hg
0.500 0.500 0.500 Au



CdRe2Pb, optimized geometry, DFT PBE; formation energy = 2.8 eV/f.u.; magnetic moment = 0.00 μB/f.u.
1.0
4.057 -1.565 0.000
4.057 1.565 0.000
-1.966 0.000 7.242
Cd Re Pb
1 2 1
Direct
0.000 0.000 0.000 Cd
0.239 0.239 0.745 Re
0.499 0.499 0.630 Re
0.724 0.724 0.361 Pb



PmDy3S6, optimized geometry, DFT PBE; uncorrected formation energy = -2.09 eV/atom; magnetic moment = 0.00 μB/f.u.
1.0
11.073 0.000 0.000
0.000 3.984 0.000
-3.632 0.000 10.753
Pm Dy S
2 6 12
Direct
0.047 0.250 0.193 Pm
0.953 0.750 0.807 Pm
0.161 0.250 0.586 Dy
0.319 0.750 0.998 Dy
0.437 0.250 0.332 Dy
0.563 0.750 0.668 Dy
0.681 0.250 0.002 Dy
0.839 0.750 0.414 Dy
0.082 0.750 0.404 S
0.115 0.250 0.963 S
0.194 0.750 0.749 S
0.260 0.750 0.226 S
0.397 0.250 0.561 S
0.478 0.250 0.112 S
0.522 0.750 0.888 S
0.603 0.750 0.439 S
0.740 0.250 0.774 S
0.806 0.250 0.251 S
0.885 0.750 0.037 S
0.918 0.250 0.596 S



CsTcP2, optimized geometry, DFT PBE; formation energy = -1.3 eV/f.u.; magnetic moment = 0.00 μB/f.u.
1.0
-3.514 3.514 5.319
3.514 -3.514 5.319
3.514 3.514 -5.319
Cs Tc P
2 2 4
Direct
0.375 0.625 0.750 Cs
0.625 0.375 0.250 Cs
0.125 0.875 0.250 Tc
0.875 0.125 0.750 Tc
0.000 0.000 0.000 P
0.000 0.000 0.500 P
0.000 0.500 0.000 P
0.500 0.000 0.500 P



Tm3Ge5, optimized geometry, DFT PBE; formation energy = -5.3 eV/f.u.; magnetic moment = 0.00 μB/f.u.
1.0
0.000 8.625 6.796
2.859 0.000 6.796
2.859 8.625 0.000
Tm Ge
6 10
Direct
0.000 0.000 0.000 Tm
0.250 0.250 0.250 Tm
0.305 0.677 0.359 Tm
0.592 0.891 0.573 Tm
0.677 0.305 0.658 Tm
0.891 0.592 0.945 Tm
0.005 0.320 0.169 Ge
0.081 0.745 0.245 Ge
0.229 0.466 0.894 Ge
0.320 0.005 0.505 Ge
0.356 0.839 0.021 Ge
0.466 0.229 0.411 Ge
0.553 0.553 0.447 Ge
0.745 0.081 0.930 Ge
0.803 0.803 0.697 Ge
0.839 0.356 0.784 Ge



ZnPd2Se, optimized geometry, DFT PBE; uncorrected formation energy = -0.18 eV/atom; magnetic moment = 0.00 μB/f.u.
1.0
0.000 3.170 3.170
3.170 0.000 3.170
3.170 3.170 0.000
Zn Pd Se
1 2 1
Direct
0.000 0.000 0.000 Zn
0.250 0.250 0.250 Pd
0.750 0.750 0.750 Pd
0.500 0.500 0.500 Se



Be3C2, optimized geometry, DFT PBE; formation energy = 2.2 eV/f.u.; magnetic moment = 0.00 μB/f.u.
1.0
3.035 0.000 0.000
-1.517 2.628 0.000
0.000 0.000 4.479
Be C
3 2
Direct
0.000 0.000 0.000 Be
0.333 0.667 0.329 Be
0.667 0.333 0.671 Be
0.333 0.667 0.754 C
0.667 0.333 0.246 C



SrMo2Se, optimized geometry, DFT PBE; uncorrected formation energy = 0.62 eV/atom; magnetic moment = 0.00 μB/f.u.
1.0
0.000 3.394 3.394
3.394 0.000 3.394
3.394 3.394 0.000
Sr Mo Se
1 2 1
Direct
0.000 0.000 0.000 Sr
0.250 0.250 0.250 Mo
0.500 0.500 0.500 Mo
0.750 0.750 0.750 Se



ReMoC2, optimized geometry, DFT PBE; formation energy = 3.5 eV/f.u.; magnetic moment = 0.00 μB/f.u.
1.0
0.000 2.710 2.710
2.710 0.000 2.710
2.710 2.710 0.000
Re Mo C
1 1 2
Direct
0.000 0.000 0.000 Re
0.500 0.500 0.500 Mo
0.250 0.250 0.250 C
0.750 0.750 0.750 C



RbCdHgBr5, optimized geometry, DFT PBE; uncorrected formation energy = -0.92 eV/atom; magnetic moment = 0.00 μB/f.u.
1.0
4.767 -6.487 0.000
4.767 6.487 0.000
-3.871 0.000 9.477
Rb Cd Hg Br
2 2 2 10
Direct
0.156 0.844 0.750 Rb
0.844 0.156 0.250 Rb
0.500 0.500 0.000 Cd
0.500 0.500 0.500 Cd
0.184 0.816 0.250 Hg
0.816 0.184 0.750 Hg
0.131 0.251 0.950 Br
0.186 0.591 0.406 Br
0.251 0.131 0.450 Br
0.409 0.814 0.094 Br
0.426 0.574 0.750 Br
0.574 0.426 0.250 Br
0.591 0.186 0.906 Br
0.749 0.869 0.550 Br
0.814 0.409 0.594 Br
0.869 0.749 0.050 Br



Na2Te2O5, optimized geometry, DFT PBE; uncorrected formation energy = -1.31 eV/atom; magnetic moment = 0.00 μB/f.u.
1.0
-7.180 3.039 3.669
7.180 -3.039 3.669
7.180 3.039 -3.669
Na Te O
4 4 10
Direct
0.034 0.118 0.152 Na
0.034 0.382 0.416 Na
0.966 0.618 0.584 Na
0.966 0.882 0.848 Na
0.459 0.745 0.213 Te
0.532 0.245 0.787 Te
0.609 0.109 0.500 Te
0.609 0.609 0.000 Te
0.215 0.470 0.787 O
0.215 0.928 0.245 O
0.260 0.834 0.926 O
0.542 0.290 0.556 O
0.542 0.486 0.752 O
0.682 0.428 0.213 O
0.682 0.970 0.755 O
0.734 0.790 0.248 O
0.734 0.986 0.444 O
0.907 0.334 0.074 O



TeSeIN2, optimized geometry, DFT PBE; uncorrected formation energy = 1.36 eV/atom; magnetic moment = 0.00 μB/f.u.
1.0
4.059 0.000 0.000
0.000 4.059 0.000
0.000 0.000 6.426
Te Se I N
1 1 1 2
Direct
0.000 0.000 0.000 Te
0.000 0.000 0.500 Se
0.500 0.500 0.500 I
0.000 0.500 0.000 N
0.500 0.000 0.000 N



La2TlAs2, optimized geometry, DFT PBE; formation energy = -3.5 eV/f.u.; magnetic moment = 0.00 μB/f.u.
1.0
-1.997 1.997 8.952
1.997 -1.997 8.952
1.997 1.997 -8.952
La Tl As
2 1 2
Direct
0.117 0.117 0.000 La
0.883 0.883 0.000 La
0.500 0.500 0.000 Tl
0.250 0.750 0.500 As
0.750 0.250 0.500 As



TiAlPb2S, optimized geometry, DFT PBE; uncorrected formation energy = 0.66 eV/atom; magnetic moment = 0.01 μB/f.u.
1.0
5.499 0.000 0.000
0.000 5.499 0.000
0.000 0.000 4.439
Ti Al Pb S
1 1 2 1
Direct
0.000 0.000 0.000 Ti
0.500 0.500 0.500 Al
0.000 0.500 0.500 Pb
0.500 0.000 0.500 Pb
0.500 0.500 0.000 S



Ca8AgPd2, optimized geometry, DFT PBE; formation energy = -3.6 eV/f.u.; magnetic moment = 0.00 μB/f.u.
1.0
4.504 -6.666 0.000
4.504 6.666 0.000
-1.644 0.000 5.831
Ca Ag Pd
8 1 2
Direct
0.000 0.000 0.000 Ca
0.040 0.304 0.611 Ca
0.145 0.608 0.199 Ca
0.304 0.040 0.611 Ca
0.444 0.710 0.795 Ca
0.608 0.145 0.199 Ca
0.710 0.444 0.795 Ca
0.746 0.746 0.391 Ca
0.374 0.374 0.059 Ag
0.059 0.685 0.694 Pd
0.685 0.059 0.694 Pd



YInAg2, optimized geometry, DFT PBE; formation energy = -0.1 eV/f.u.; magnetic moment = 0.00 μB/f.u.
1.0
1.711 0.988 9.310
-1.711 0.988 9.310
0.000 -1.975 9.310
Y In Ag
1 1 2
Direct
0.000 0.000 0.000 Y
0.237 0.237 0.237 In
0.493 0.493 0.493 Ag
0.751 0.751 0.751 Ag



CuPdPt4, optimized geometry, DFT PBE; formation energy = 0.6 eV/f.u.; magnetic moment = 0.00 μB/f.u.
1.0
5.791 -3.594 0.000
5.791 3.594 0.000
-1.218 0.000 4.564
Cu Pd Pt
2 2 8
Direct
0.064 0.064 0.247 Cu
0.936 0.936 0.753 Cu
0.297 0.297 0.381 Pd
0.703 0.703 0.619 Pd
0.165 0.165 0.791 Pt
0.191 0.558 0.927 Pt
0.287 0.713 0.500 Pt
0.442 0.809 0.073 Pt
0.558 0.191 0.927 Pt
0.713 0.287 0.500 Pt
0.809 0.442 0.073 Pt
0.835 0.835 0.209 Pt



Calculated total energy (eV/atom), listed in the same order as above: -7.357 -1.157 -6.677 -6.420 -5.840 -5.223 -3.969 -5.485 -6.091 -9.545 -2.240 -5.060 -3.602 -4.995 -3.978 -2.987 -3.745 -5.481